BaTl5 | PBE | optimized geometry

## Properties
total magnetization = 0.00 μB per formula unit
E_form = -0.15 eV per atom
relative energy among the computed polymorphs = 50.9 meV/atom
SG = F-43m, No. 216

abc: 6.5957 6.5957 6.5957
angles: 60.00 60.00 60.00
Last column: nearest neighbours and their distance in Å.
Positions (direct):
Tl: 0.3757 0.8730 0.3757  6 Tl 3.28-3.32
Tl: 0.8730 0.3757 0.3757  6 Tl 3.28-3.32
Tl: 0.3757 0.3757 0.8730  6 Tl 3.28-3.32
Tl: 0.7500 0.7500 0.7500  12 Tl 3.87, 4 Ba 4.04
Tl: 0.3757 0.3757 0.3757  6 Tl 3.28-3.32
Ba: 0.0000 0.0000 0.0000  16 Tl 3.87-4.04

---

Dy4Si3Pt | PBE | optimized geometry

## Properties
total magnetization = 0.00 μB per formula unit
formation energy without anion corrections = -917 meV per atom
SG = Pmm2, No. 25

abc: 4.2006 3.9178 10.7269
angles: 90.00 90.00 90.00
Last column: nearest neighbours and their distance in Å.
Positions (direct):
Si: 0.0000 0.5000 0.5744  2 Si 2.49
Si: 0.0000 0.0000 0.4305  2 Si 2.49
Si: 0.5000 0.0000 0.9201  2 Pt 2.61
Dy: 0.5000 0.5000 0.3577  1 Pt 2.98, 6 Si 2.98-3.13
Dy: 0.0000 0.5000 0.8581  5 Si 2.95-3.04, 2 Pt 3.18
Dy: 0.0000 0.0000 0.1372  4 Pt 2.94, 3 Si 3.14-3.15
Dy: 0.5000 0.0000 0.6418  7 Si 2.96-3.09
Pt: 0.5000 0.5000 0.0802  2 Si 2.61

---

Tb2PaB6 | PBE | optimized geometry

## Properties
total magnetization = 0.00 μB per formula unit
E_form = -0.54 eV per atom
SG = P6/mmm, No. 191

abc: 3.9607 5.6584 5.6584
angles: 120.00 90.00 90.00
Last column: nearest neighbours and their distance in Å.
Positions (direct):
B: 0.5000 0.3298 0.3298  3 B 1.87-1.93
B: 0.5000 0.6702 0.6702  3 B 1.87-1.93
B: 0.5000 0.0000 0.6702  3 B 1.87-1.93
B: 0.5000 0.0000 0.3298  3 B 1.87-1.93
B: 0.5000 0.3298 0.0000  3 B 1.87-1.93
B: 0.5000 0.6702 0.0000  3 B 1.87-1.93
Pa: 0.0000 0.0000 0.0000  12 B 2.72
Tb: 0.0000 0.3333 0.6667  12 B 2.74
Tb: 0.0000 0.6667 0.3333  12 B 2.74

---

Hf2ZnInRe | PBE | optimized geometry

## Properties
total magnetization = 0.00 μB per formula unit
E_form = 0.81 eV per atom
SG = P4/mmm, No. 123

abc: 4.8667 4.5781 4.8667
angles: 90.00 90.00 90.00
Last column: nearest neighbours and their distance in Å.
Positions (direct):
Re: 0.0000 0.5000 0.0000  2 Zn 2.29
Hf: 0.0000 0.0000 0.5000  2 Zn 2.43
Hf: 0.5000 0.0000 0.0000  2 Zn 2.43
In: 0.5000 0.5000 0.5000  8 Hf 3.34, 4 Re 3.44
Zn: 0.0000 0.0000 0.0000  2 Re 2.29, 4 Hf 2.43

---

K2Rb3Na4Hg2 | PBE | optimized geometry

## Properties
total magnetization = 0.00 μB per formula unit
E_form = -0.06 eV per atom
SG = I4/mmm, No. 139

abc: 5.0797 5.0797 22.7771
angles: 96.40 96.40 90.00
Last column: nearest neighbours and their distance in Å.
Positions (direct):
Rb: 0.2143 0.2143 0.4286  4 K 4.67, 8 Rb 4.82-5.08
Rb: 0.0000 0.0000 0.0000  8 Hg 3.90, 8 Na 4.32
Rb: 0.7857 0.7857 0.5714  4 K 4.67, 8 Rb 4.82-5.08
Hg: 0.5340 0.5340 0.0679  1 Hg 3.06, 4 Na 3.21
Hg: 0.4660 0.4660 0.9321  1 Hg 3.06, 4 Na 3.21
K: 0.6481 0.6481 0.2962  4 Na 4.06
K: 0.3519 0.3519 0.7038  4 Na 4.06
Na: 0.5776 0.0776 0.1553  2 Hg 3.21, 4 Na 3.59
Na: 0.4224 0.9224 0.8447  2 Hg 3.21, 4 Na 3.59
Na: 0.9224 0.4224 0.8447  2 Hg 3.21, 4 Na 3.59
Na: 0.0776 0.5776 0.1553  2 Hg 3.21, 4 Na 3.59

---

Ac2YCu3Sn4 | PBE | optimized geometry

## Properties
total magnetization = 0.00 μB per formula unit
E_form = -0.48 eV per atom
SG = P-4m2, No. 115

abc: 4.6396 4.6396 11.8267
angles: 90.00 90.00 90.00
Last column: nearest neighbours and their distance in Å.
Positions (direct):
Ac: 0.5000 0.0000 0.2307  6 Cu 3.53-3.94, 8 Sn 3.54-3.58, 2 Y 3.94
Ac: 0.0000 0.5000 0.7693  6 Cu 3.53-3.94, 8 Sn 3.54-3.58, 2 Y 3.94
Cu: 0.0000 0.5000 0.1213  5 Sn 2.63-2.73
Cu: 0.0000 0.0000 0.5000  4 Sn 2.97, 4 Y 3.28
Cu: 0.5000 0.0000 0.8787  5 Sn 2.63-2.73
Y: 0.5000 0.5000 0.5000  4 Sn 2.97, 4 Cu 3.28
Sn: 0.0000 0.0000 0.0000  4 Cu 2.73
Sn: 0.5000 0.0000 0.6564  1 Cu 2.63
Sn: 0.5000 0.5000 0.0000  4 Cu 2.73
Sn: 0.0000 0.5000 0.3436  1 Cu 2.63

---

We obtain density of states at the Fermi level values of 3.8; 5.1; 3.5; 2.5; 6.2; 2.7 states/eV/f.u. for the records listed above, in that order.